A relaxed Ba4ScReWO12 crystal. Source: Alexandria, functional PBE with a Hubbard U. Values from VASP.

Calculated values
The calculation puts the magnetization at 0.000 μB/f.u. For the total energy, the calculation gives -7.526 eV per atom. For the density of states at the Fermi level, the calculation gives 0.00 states/eV/f.u.

Structure (Quantum ESPRESSO input):
```
&SYSTEM
  ibrav = 0, nat = 19, ntyp = 5
/
ATOMIC_SPECIES
Ba 137.33 Ba.upf
Sc 44.96 Sc.upf
Re 186.21 Re.upf
W 183.84 W.upf
O 16.00 O.upf
CELL_PARAMETERS angstrom
2.918 1.685 9.464
-2.918 1.685 9.464
0.000 -3.370 9.464
ATOMIC_POSITIONS crystal
Ba 0.000 0.000 0.000
Ba 0.154 0.154 0.154
Ba 0.420 0.420 0.420
Ba 0.581 0.581 0.581
Sc 0.291 0.291 0.291
Re 0.870 0.870 0.870
W 0.710 0.710 0.710
O 0.070 0.070 0.599
O 0.070 0.599 0.070
O 0.147 0.681 0.681
O 0.424 0.904 0.904
O 0.504 0.504 0.986
O 0.504 0.986 0.504
O 0.599 0.070 0.070
O 0.681 0.147 0.681
O 0.681 0.681 0.147
O 0.904 0.424 0.904
O 0.904 0.904 0.424
O 0.986 0.504 0.504
```